No. 1
4
Lattice="0.000 3.511 3.511 3.511 0.000 3.511 3.511 3.511 0.000" Properties=species:S:1:pos:R:3 comment="CeNiSnHg (PBE, relaxed)" total_magnetization_mub_per_atom=0.046 delta_e_f_mev_per_atom=-267 sg="F-43m (216)" pbc="T T T"
Ce 0.000 0.000 0.000
Ni 1.755 1.755 1.755
Sn 3.511 3.511 3.511
Hg 5.266 5.266 5.266


No. 2
4
Lattice="0.000 3.621 3.621 3.621 0.000 3.621 3.621 3.621 0.000" Properties=species:S:1:pos:R:3 comment="TbCeNiHg (PBE, relaxed)" total_magnetization_mub_per_atom=0.171 delta_e_f_mev_per_atom=-235 sg="F-43m (216)" pbc="T T T"
Tb 0.000 0.000 0.000
Ce 3.621 3.621 3.621
Ni 5.431 5.431 5.431
Hg 1.810 1.810 1.810